No. 1
VASP calculation (GGA-PBEsol) on a relaxed AlInAg2S4 crystal.

a b c (Å): 5.711 5.711 10.847
angles (deg): 90.00 90.00 90.00
Space group I-4 (No. 82)
Symmetry-distinct sites (fractional):
1 Al 0.000 0.000 0.000
2 In 0.000 0.500 0.750
3 Ag 0.000 0.000 0.500
4 Ag 0.000 0.500 0.250
5 S 0.230 0.234 0.882

Results
uncorrected energy: -71.83 eV for the cell shown
raw formation energy: -0.5851 eV/atom

=====

No. 2
VASP calculation (GGA-PBEsol) on a relaxed TcIrRh2 crystal.

a b c (Å): 3.239 3.239 5.353
angles (deg): 90.00 90.00 90.00
Space group P4mm (No. 99)
Symmetry-distinct sites (fractional):
1 Tc 0.000 0.000 0.000
2 Ir 0.500 0.500 0.246
3 Rh 0.000 0.000 0.497
4 Rh 0.500 0.500 0.747

Results
excess energy over the best structure of this formula in the dataset: 0.362 eV/atom
uncorrected energy: -36.39 eV for the cell shown

=====

The lowest uncorrected energy belongs to which entry? AlInAg2S4

=====

What did the second record say?
VASP calculation (GGA-PBEsol) on a relaxed TcIrRh2 crystal.

a b c (Å): 3.239 3.239 5.353
angles (deg): 90.00 90.00 90.00
Space group P4mm (No. 99)
Symmetry-distinct sites (fractional):
1 Tc 0.000 0.000 0.000
2 Ir 0.500 0.500 0.246
3 Rh 0.000 0.000 0.497
4 Rh 0.500 0.500 0.747

Results
excess energy over the best structure of this formula in the dataset: 0.362 eV/atom
uncorrected energy: -36.39 eV for the cell shown

=====

Please write out number 2 again, unchanged.
VASP calculation (GGA-PBEsol) on a relaxed TcIrRh2 crystal.

a b c (Å): 3.239 3.239 5.353
angles (deg): 90.00 90.00 90.00
Space group P4mm (No. 99)
Symmetry-distinct sites (fractional):
1 Tc 0.000 0.000 0.000
2 Ir 0.500 0.500 0.246
3 Rh 0.000 0.000 0.497
4 Rh 0.500 0.500 0.747

Results
excess energy over the best structure of this formula in the dataset: 0.362 eV/atom
uncorrected energy: -36.39 eV for the cell shown